VASP calculation (PBE-GGA) on a relaxed AlCu crystal.

- energy of formation (meV/atom) = 228
- raw total energy (eV per atom) = -3.692
- theoretical density (Mg/m³) = 4.66
- SG = Fm-3m, No. 225

Unit cell a=5.053 b=5.053 c=5.053 alpha=90.00 beta=90.00 gamma=90.00
Positions (direct):
Al  0.000  0.000  0.000
Al  0.000  0.500  0.500
Al  0.500  0.000  0.500
Al  0.500  0.500  0.000
Cu  0.000  0.000  0.500
Cu  0.000  0.500  0.000
Cu  0.500  0.000  0.000
Cu  0.500  0.500  0.500